[1]
# LiYCu2 GGA-PBEsol relaxed
# formation energy = -0.4 eV per formula unit
data_LiYCu2
_chemical_formula_sum 'Li2 Y2 Cu4'
_symmetry_space_group_name_H-M 'C 1 2/m 1'
_symmetry_Int_Tables_number 12
_cell_length_a 7.253
_cell_length_b 4.200
_cell_length_c 5.084
_cell_angle_alpha 90.00
_cell_angle_beta 118.45
_cell_angle_gamma 90.00
loop_
_symmetry_equiv_pos_as_xyz
'x,y,z'
'-x,-y,-z'
'-x,y,-z'
'x,-y,z'
'x+1/2,y+1/2,z'
'-x+1/2,-y+1/2,-z'
'-x+1/2,y+1/2,-z'
'x+1/2,-y+1/2,z'
loop_
_atom_site_label
_atom_site_type_symbol
_atom_site_fract_x
_atom_site_fract_y
_atom_site_fract_z
_atom_site_occupancy
Li1 Li 0.000 0.000 0.000 1
Y1 Y 0.000 0.500 0.500 1
Cu1 Cu 0.207 0.500 0.121 1

---

[2]
# CaSeSCl2 GGA-PBEsol relaxed
# ΔE_f (raw) = -0.3976 eV per atom
data_CaSeSCl2
_chemical_formula_sum 'Ca1 Se1 S1 Cl2'
_symmetry_space_group_name_H-M 'P 4/m m m'
_symmetry_Int_Tables_number 123
_symmetry_space_group_name_Hall '-P 4 2'
_cell_length_a 5.018
_cell_length_b 5.018
_cell_length_c 5.628
_cell_angle_alpha 90.00
_cell_angle_beta 90.00
_cell_angle_gamma 90.00
loop_
_atom_site_label
_atom_site_type_symbol
_atom_site_fract_x
_atom_site_fract_y
_atom_site_fract_z
_atom_site_occupancy
Ca1 Ca 0.000 0.000 0.000 1
Se1 Se 0.500 0.500 0.500 1
S1 S 0.000 0.000 0.500 1
Cl1 Cl 0.000 0.500 0.000 1

---

| no. | E_tot (eV per atom) |
| --- | --- |
| 1 | -4.4557 |
| 2 | -3.2742 |